No. 1
Here is an optimized crystal structure of TbTlAu from Alexandria. Energies are from PBE-GGA.

Geometry as CIF:
```
data_TbTlAu
_chemical_formula_sum 'Tb4 Tl4 Au4'
_cell_length_a 12.454
_cell_length_b 4.701
_cell_length_c 5.051
_cell_angle_alpha 90.00
_cell_angle_beta 90.07
_cell_angle_gamma 90.00
_space_group_name_H-M_alt 'C 1 2/m 1'
_space_group_IT_number 12
loop_
_space_group_symop_operation_xyz
'x,y,z'
'-x,-y,-z'
'-x,y,-z'
'x,-y,z'
'x+1/2,y+1/2,z'
'-x+1/2,-y+1/2,-z'
'-x+1/2,y+1/2,-z'
'x+1/2,-y+1/2,z'
loop_
_atom_site_label
_atom_site_fract_x
_atom_site_fract_y
_atom_site_fract_z
Tb1 0.114 0.000 0.251
Tl1 0.085 0.500 0.750
Au1 0.240 0.000 0.751
```

Calculated values
Calculated formation energy (eV/atom): -0.51
Total DFT energy (no corrections) (eV per atom): -3.932

***

No. 2
Here is an optimized crystal structure of TbTl2Au from Alexandria. Energies are from PBE-GGA.

Geometry as CIF:
```
data_TbTl2Au
_chemical_formula_sum 'Tb3 Tl6 Au3'
_cell_length_a 3.5289
_cell_length_b 3.5289
_cell_length_c 32.2273
_cell_angle_alpha 90.00
_cell_angle_beta 90.00
_cell_angle_gamma 120.00
_space_group_name_H-M_alt 'R -3 m'
_space_group_IT_number 166
_space_group_name_Hall '-R 3 2"'
loop_
_atom_site_label
_atom_site_fract_x
_atom_site_fract_y
_atom_site_fract_z
Tb1 0.0000 0.0000 0.0000
Tl1 0.0000 0.0000 0.0983
Au1 0.0000 0.0000 0.5000
```

Calculated values
Calculated formation energy (eV/atom): 0.11
Total DFT energy (no corrections) (eV per atom): -3.051
Distance to the lowest polymorph of the same formula (eV/atom): 0.4365

***

No. 3
Here is an optimized crystal structure of Tb12TlAu6 from Alexandria. Energies are from PBE-GGA.

Geometry as CIF:
```
data_Tb12TlAu6
_chemical_formula_sum 'Tb36 Tl3 Au18'
_cell_length_a 13.3282
_cell_length_b 13.3282
_cell_length_c 11.6079
_cell_angle_alpha 90.00
_cell_angle_beta 90.00
_cell_angle_gamma 120.00
_space_group_name_H-M_alt 'R -3'
_space_group_IT_number 148
_space_group_name_Hall '-R 3'
loop_
_atom_site_label
_atom_site_fract_x
_atom_site_fract_y
_atom_site_fract_z
Tb1 0.0348 0.2134 0.3914
Tb2 0.0387 0.2242 0.8944
Tl1 0.0000 0.0000 0.0000
Au1 0.0448 0.2568 0.6482
```

Calculated values
Calculated formation energy (eV/atom): -0.38
Total DFT energy (no corrections) (eV per atom): -4.465

***

No. 4
Here is an optimized crystal structure of Tb4Tl5Au2 from Alexandria. Energies are from PBE-GGA.

Geometry as CIF:
```
data_Tb4Tl5Au2
_chemical_formula_sum 'Tb4 Tl5 Au2'
_cell_length_a 8.098
_cell_length_b 3.683
_cell_length_c 9.832
_cell_angle_alpha 90.00
_cell_angle_beta 93.06
_cell_angle_gamma 90.00
_space_group_name_H-M_alt 'P 1 2/m 1'
_space_group_IT_number 10
loop_
_space_group_symop_operation_xyz
'x,y,z'
'-x,-y,-z'
'-x,y,-z'
'x,-y,z'
loop_
_atom_site_label
_atom_site_fract_x
_atom_site_fract_y
_atom_site_fract_z
Tb1 0.206 0.000 0.355
Tb2 0.219 0.000 0.920
Tl1 0.143 0.500 0.630
Tl2 0.463 0.500 0.165
Tl3 0.500 0.500 0.500
Au1 0.081 0.500 0.133
```

Calculated values
Calculated formation energy (eV/atom): -0.46
Total DFT energy (no corrections) (eV per atom): -3.813

***

> The highest total DFT energy (no corrections) belongs to which entry?

TbTl2Au

***

> Look up the calculated formation energy of the third one.

-0.38 eV/atom